This record from Alexandria via LeMat-Bulk describes a PBEsol-optimized structure of ZnFeSi4O10. The functional is SCAN.

Output
Space group ... P4/ncc
Formation energy without anion corrections ... -2.598 eV per atom

Lattice parameters (Å, degrees): 7.2186 7.2186 14.7891 90.00 90.00 90.00
With the nearest neighbours (Å) after each atom.
Fractional coordinates of all 64 atoms:
Zn 0.2500 0.7500 0.0000  4 O 2.09
Zn 0.2500 0.7500 0.5000  4 O 2.09
Zn 0.7500 0.2500 0.0000  4 O 2.09
Zn 0.7500 0.2500 0.5000  4 O 2.09
Fe 0.2500 0.2500 0.0661  4 O 2.02
Fe 0.2500 0.2500 0.5661  4 O 2.02
Fe 0.7500 0.7500 0.4339  4 O 2.02
Fe 0.7500 0.7500 0.9339  4 O 2.02
Si 0.0133 0.5909 0.1444  4 O 1.61-1.63
Si 0.0133 0.9091 0.6444  4 O 1.61-1.63
Si 0.0909 0.5133 0.3556  4 O 1.61-1.63
Si 0.0909 0.9867 0.8556  4 O 1.61-1.63
Si 0.4091 0.5133 0.8556  4 O 1.61-1.63
Si 0.4091 0.9867 0.3556  4 O 1.61-1.63
Si 0.4867 0.5909 0.6444  4 O 1.61-1.63
Si 0.4867 0.9091 0.1444  4 O 1.61-1.63
Si 0.5133 0.0909 0.8556  4 O 1.61-1.63
Si 0.5133 0.4091 0.3556  4 O 1.61-1.63
Si 0.5909 0.0133 0.6444  4 O 1.61-1.63
Si 0.5909 0.4867 0.1444  4 O 1.61-1.63
Si 0.9091 0.0133 0.1444  4 O 1.61-1.63
Si 0.9091 0.4867 0.6444  4 O 1.61-1.63
Si 0.9867 0.0909 0.3556  4 O 1.61-1.63
Si 0.9867 0.4091 0.8556  4 O 1.61-1.63
O 0.0006 0.6878 0.6249  2 Si 1.62-1.63
O 0.0006 0.8122 0.1249  2 Si 1.62-1.63
O 0.0170 0.6688 0.4262  1 Si 1.62
O 0.0170 0.8312 0.9262  1 Si 1.62
O 0.0629 0.5629 0.2500  2 Si 1.61
O 0.0629 0.9371 0.7500  2 Si 1.61
O 0.1688 0.5170 0.0738  1 Si 1.62
O 0.1688 0.9830 0.5738  1 Si 1.62
O 0.1878 0.5006 0.8751  2 Si 1.62-1.63
O 0.1878 0.9994 0.3751  2 Si 1.62-1.63
O 0.3122 0.5006 0.3751  2 Si 1.62-1.63
O 0.3122 0.9994 0.8751  2 Si 1.62-1.63
O 0.3312 0.5170 0.5738  1 Si 1.62
O 0.3312 0.9830 0.0738  1 Si 1.62
O 0.4371 0.5629 0.7500  2 Si 1.61
O 0.4371 0.9371 0.2500  2 Si 1.61
O 0.4830 0.6688 0.9262  1 Si 1.62
O 0.4830 0.8312 0.4262  1 Si 1.62
O 0.4994 0.6878 0.1249  2 Si 1.62-1.63
O 0.4994 0.8122 0.6249  2 Si 1.62-1.63
O 0.5006 0.1878 0.3751  2 Si 1.62-1.63
O 0.5006 0.3122 0.8751  2 Si 1.62-1.63
O 0.5170 0.1688 0.5738  1 Si 1.62
O 0.5170 0.3312 0.0738  1 Si 1.62
O 0.5629 0.0629 0.7500  2 Si 1.61
O 0.5629 0.4371 0.2500  2 Si 1.61
O 0.6688 0.0170 0.9262  1 Si 1.62
O 0.6688 0.4830 0.4262  1 Si 1.62
O 0.6878 0.0006 0.1249  2 Si 1.62-1.63
O 0.6878 0.4994 0.6249  2 Si 1.62-1.63
O 0.8122 0.0006 0.6249  2 Si 1.62-1.63
O 0.8122 0.4994 0.1249  2 Si 1.62-1.63
O 0.8312 0.0170 0.4262  1 Si 1.62
O 0.8312 0.4830 0.9262  1 Si 1.62
O 0.9371 0.0629 0.2500  2 Si 1.61
O 0.9371 0.4371 0.7500  2 Si 1.61
O 0.9830 0.1688 0.0738  1 Si 1.62
O 0.9830 0.3312 0.5738  1 Si 1.62
O 0.9994 0.1878 0.8751  2 Si 1.62-1.63
O 0.9994 0.3122 0.3751  2 Si 1.62-1.63